#A
A relaxed BeInSi2 crystal, computed with PBE.

Output
M_tot   0.00 μB/f.u.
Crystal system   orthorhombic
SG   Cmmm

Cell lengths 3.737, 4.419, 4.418 Å; angles 69.47, 90.00, 90.00 degrees
Fractional coordinates of all 4 atoms:
Be 0.500 0.250 0.250
Si 0.000 0.430 0.431
Si 0.000 0.070 0.069
In 0.500 0.750 0.750



#B
A relaxed BeInSi2 crystal, computed with PBE.

Output
M_tot   0.00 μB/f.u.
Crystal system   orthorhombic
SG   Cmmm

Cell lengths 3.007, 3.007, 7.802 Å; angles 90.00, 90.00, 102.32 degrees
Fractional coordinates of all 4 atoms:
Si 0.000 0.000 0.418
Be 0.500 0.500 0.250
Si 0.000 0.000 0.082
In 0.500 0.500 0.750



The structure with the greatest stability is #A.



#A
A relaxed BeInSi2 crystal, computed with PBE.

Output
M_tot   0.00 μB/f.u.
Crystal system   monoclinic
SG   Pm

Cell lengths 3.383, 2.967, 6.810 Å; angles 78.90, 90.00, 90.00 degrees
Fractional coordinates of all 4 atoms:
Si 0.500 0.182 0.267
Be 0.000 0.606 0.434
In 0.500 0.949 0.712
Si 0.000 0.763 0.087



#B
A relaxed BeInSi2 crystal, computed with PBE.

Output
M_tot   0.00 μB/f.u.
Crystal system   monoclinic
SG   C2/m

Cell lengths 5.660, 5.660, 3.664 Å; angles 71.39, 71.39, 126.39 degrees
Fractional coordinates of all 4 atoms:
Si 0.000 0.000 0.000
In 0.000 0.500 0.500
Be 0.500 0.000 0.500
Si 0.500 0.500 0.000



The structure with the greatest stability is #A.



#A
A relaxed BeInSi2 crystal, computed with PBE.

Output
M_tot   0.00 μB/f.u.
Crystal system   monoclinic
SG   Cm

Cell lengths 4.042, 4.042, 6.149 Å; angles 68.44, 68.44, 53.24 degrees
Fractional coordinates of all 4 atoms:
Be 0.514 0.514 0.680
In 0.180 0.180 0.235
Si 0.974 0.974 0.937
Si 0.832 0.832 0.649



#B
A relaxed BeInSi2 crystal, computed with PBE.

Output
M_tot   0.00 μB/f.u.
Crystal system   trigonal
SG   R3m

Cell lengths 6.479, 6.479, 6.479 Å; angles 32.56, 32.56, 32.56 degrees
Fractional coordinates of all 4 atoms:
Be 0.522 0.522 0.522
In 0.760 0.760 0.760
Si 0.240 0.240 0.240
Si 0.979 0.979 0.979



#C
A relaxed BeInSi2 crystal, computed with PBE.

Output
M_tot   0.00 μB/f.u.
Crystal system   cubic
SG   Fm-3m

Cell lengths 4.596, 4.596, 4.596 Å; angles 60.00, 60.00, 60.00 degrees
Fractional coordinates of all 4 atoms:
In 0.500 0.500 0.500
Be 0.000 0.000 0.000
Si 0.750 0.750 0.750
Si 0.250 0.250 0.250



The structure with the greatest stability is #A.



#A
A relaxed Be3InSi crystal, computed with PBE.

Output
M_tot   0.00 μB/f.u.
Crystal system   cubic
SG   Pm-3m

Cell lengths 4.513, 4.513, 4.513 Å; angles 90.00, 90.00, 90.00 degrees
Fractional coordinates of all 5 atoms:
Be 0.500 0.000 0.000
Si 0.500 0.500 0.500
In 0.000 0.000 0.000
Be 0.000 0.500 0.000
Be 0.000 0.000 0.500



#B
A relaxed Be3InSi crystal, computed with PBE.

Output
M_tot   0.00 μB/f.u.
Crystal system   cubic
SG   Pm-3m

Cell lengths 4.326, 4.326, 4.326 Å; angles 90.00, 90.00, 90.00 degrees
Fractional coordinates of all 5 atoms:
Be 0.000 0.500 0.000
Be 0.500 0.000 0.000
In 0.500 0.500 0.500
Si 0.000 0.000 0.000
Be 0.000 0.000 0.500



The structure with the greatest stability is #B.



#A
A relaxed BeInSi3 crystal, computed with PBE.

Output
M_tot   0.00 μB/f.u.
Crystal system   cubic
SG   Pm-3m

Cell lengths 5.092, 5.092, 5.092 Å; angles 90.00, 90.00, 90.00 degrees
Fractional coordinates of all 5 atoms:
Si 0.000 0.500 0.000
Si 0.000 0.000 0.500
Si 0.500 0.000 0.000
In 0.000 0.000 0.000
Be 0.500 0.500 0.500



#B
A relaxed BeInSi3 crystal, computed with PBE.

Output
M_tot   0.00 μB/f.u.
Crystal system   cubic
SG   Pm-3m

Cell lengths 4.437, 4.437, 4.437 Å; angles 90.00, 90.00, 90.00 degrees
Fractional coordinates of all 5 atoms:
Si 0.500 0.000 0.000
Si 0.000 0.000 0.500
In 0.500 0.500 0.500
Si 0.000 0.500 0.000
Be 0.000 0.000 0.000



The structure with the greatest stability is #B.



#A
A relaxed SmBeIn crystal, computed with PBE.

Output
M_tot   0.00 μB/f.u.
Crystal system   cubic
SG   F-43m

Cell lengths 4.579, 4.579, 4.579 Å; angles 60.00, 60.00, 60.00 degrees
Fractional coordinates of all 3 atoms:
Be 0.250 0.250 0.250
Sm 0.500 0.500 0.500
In 0.000 0.000 0.000



#B
A relaxed SmBeIn crystal, computed with PBE.

Output
M_tot   0.00 μB/f.u.
Crystal system   hexagonal
SG   P-62m

Cell lengths 5.184, 6.668, 6.668 Å; angles 120.00, 90.00, 90.00 degrees
Fractional coordinates of all 9 atoms:
In 0.000 0.000 0.519
Sm 0.500 0.667 0.333
Be 0.500 0.814 0.000
Sm 0.500 0.333 0.667
Sm 0.000 0.000 0.000
Be 0.500 0.186 0.186
Be 0.500 0.000 0.814
In 0.000 0.481 0.481
In 0.000 0.519 0.000



The structure with the greatest stability is #A.